Density functional theory data (PBE-GGA) for CaZr2Fe after structural relaxation.

Structure (POSCAR):
```
CaZr2Fe
1.0
-1.6729 2.4486 5.2906
1.6729 -2.4486 5.2906
1.6729 2.4486 -5.2906
Ca Zr Fe
1 2 1
direct
0.0000 0.0000 0.0000
0.3966 0.3966 0.0000
0.7071 0.2071 0.5000
0.2267 0.7267 0.5000
```

ΔH_f (0 K) ... 246 meV/atom
Polymorph energy (0 for the lowest one) ... 0.44 eV per formula unit

Density functional theory data (PBE-GGA) for CaZr2Fe after structural relaxation.

Structure (POSCAR):
```
CaZr2Fe
1.0
-3.2735 3.2735 6.2208
3.2735 -3.2735 6.2208
3.2735 3.2735 -6.2208
Ca Zr Fe
2 4 2
direct
0.3750 0.6250 0.7500
0.6250 0.3750 0.2500
0.0000 0.0000 0.0000
0.0000 0.0000 0.5000
0.0000 0.5000 0.0000
0.5000 0.0000 0.5000
0.1250 0.8750 0.2500
0.8750 0.1250 0.7500
```

ΔH_f (0 K) ... 982 meV/atom
Polymorph energy (0 for the lowest one) ... 3.38 eV per formula unit

Density functional theory data (PBE-GGA) for CaZr2Fe after structural relaxation.

Structure (POSCAR):
```
CaZr2Fe
1.0
3.3524 0.0000 0.0000
0.0000 3.3524 0.0000
0.0000 0.0000 8.1686
Ca Zr Fe
1 2 1
direct
0.0000 0.0000 0.0000
0.0000 0.0000 0.4052
0.5000 0.5000 0.6538
0.5000 0.5000 0.2551
```

ΔH_f (0 K) ... 177 meV/atom
Polymorph energy (0 for the lowest one) ... 0.16 eV per formula unit

Density functional theory data (PBE-GGA) for CaZr4Fe after structural relaxation.

Structure (POSCAR):
```
CaZr4Fe
1.0
0.0000 4.1706 4.1706
4.1706 0.0000 4.1706
4.1706 4.1706 0.0000
Ca Zr Fe
1 4 1
direct
0.0000 0.0000 0.0000
0.3758 0.3758 0.3758
0.3758 0.3758 0.8727
0.3758 0.8727 0.3758
0.8727 0.3758 0.3758
0.7500 0.7500 0.7500
```

ΔH_f (0 K) ... 622 meV/atom

> Which value of ΔH_f (0 K) does entry 2 give?

982 meV/atom

> Which value of ΔH_f (0 K) does entry 4 give?

622 meV/atom